KLa2SnPt | PBE | relaxed

Structure (CIF):
```
data_KLa2SnPt
_chemical_formula_sum 'K1 La2 Sn1 Pt1'
_cell_length_a 6.361
_cell_length_b 6.361
_cell_length_c 5.282
_cell_angle_alpha 90.00
_cell_angle_beta 90.00
_cell_angle_gamma 90.00
_space_group_name_H-M_alt 'P 4/m m m'
_space_group_IT_number 123
_space_group_name_Hall '-P 4 2'
loop_
_atom_site_label
_atom_site_type_symbol
_atom_site_fract_x
_atom_site_fract_y
_atom_site_fract_z
_atom_site_occupancy
K1 K 0.000 0.000 0.000 1
La1 La 0.000 0.500 0.500 1
Sn1 Sn 0.500 0.500 0.500 1
Pt1 Pt 0.500 0.500 0.000 1
```

## Properties
Formation energy ... 0.160 eV per atom
DOS at the Fermi energy ... 5.56 states/eV/f.u.
Size of the total moment ... 0.8 μB per formula unit
Raw total energy ... -20.2 eV/cell